Record 1
## Ba8LiNb7O24 (PBEsol)

Data for a relaxed Ba8LiNb7O24 crystal.

Summary:
* E_tot: -332.9 eV for the cell shown
* formation energy from raw total energies: -2799.9 meV per atom
* magnetic moment: 0.00 μB per cell
* crystal system: trigonal
* space-group type: No. 156

a = 5.8445 Å, b = 5.8445 Å, c = 19.0220 Å
α = 90.00°, β = 90.00°, γ = 120.00°
Last column: nearest neighbours and their distance in Å.
Element x y z (fractional)
Ba 0.3333 0.6667 0.8679  12 O 2.83-2.95
Ba 0.3333 0.6667 0.2486  12 O 2.93-3.00
Ba 0.6667 0.3333 0.0047  12 O 2.78-2.99, 1 Li 3.09
Ba 0.3333 0.6667 0.6355  12 O 2.78-3.06
Ba 0.6667 0.3333 0.4979  12 O 2.82-2.93
Ba 0.0000 0.0000 0.7508  12 O 2.90-2.95
Ba 0.0000 0.0000 0.1445  9 O 2.76-2.96
Ba 0.0000 0.0000 0.3671  12 O 2.74-3.06
Li 0.6667 0.3333 0.1672  3 O 1.97
Nb 0.3333 0.6667 0.4401  6 O 2.04
Nb 0.6667 0.3333 0.8175  6 O 2.04-2.09
Nb 0.6667 0.3333 0.6814  6 O 2.03-2.10
Nb 0.6667 0.3333 0.3096  3 O 1.91
Nb 0.3333 0.6667 0.0661  3 O 1.91
Nb 0.0000 0.0000 0.9400  6 O 1.99-2.06
Nb 0.0000 0.0000 0.5611  6 O 2.04
O 0.5041 0.0082 0.7501  2 Nb 2.09-2.10
O 0.6659 0.8330 0.9956  2 Nb 1.99-2.15
O 0.6649 0.8325 0.5012  2 Nb 2.04
O 0.4989 0.9978 0.3794  2 Nb 2.04-2.16
O 0.4944 0.9887 0.1187  1 Nb 1.91, 1 Li 1.97
O 0.4989 0.5011 0.3794  2 Nb 2.04-2.16
O 0.4944 0.5056 0.1187  1 Nb 1.91, 1 Li 1.97
O 0.5041 0.4959 0.7501  2 Nb 2.09-2.10
O 0.3464 0.1732 0.2563  1 Nb 1.91
O 0.0022 0.5011 0.3794  2 Nb 2.04-2.16
O 0.0113 0.5056 0.1187  1 Nb 1.91, 1 Li 1.97
O 0.1670 0.3341 0.9956  2 Nb 1.99-2.15
O 0.1675 0.3351 0.5012  2 Nb 2.04
O 0.3282 0.1641 0.8756  2 Nb 2.04-2.06
O 0.3298 0.1649 0.6232  2 Nb 2.03-2.04
O 0.9918 0.4959 0.7501  2 Nb 2.09-2.10
O 0.8351 0.1649 0.6232  2 Nb 2.03-2.04
O 0.1670 0.8330 0.9956  2 Nb 1.99-2.15
O 0.1675 0.8325 0.5012  2 Nb 2.04
O 0.8359 0.1641 0.8756  2 Nb 2.04-2.06
O 0.8268 0.1732 0.2563  1 Nb 1.91
O 0.8359 0.6718 0.8756  2 Nb 2.04-2.06
O 0.8351 0.6702 0.6232  2 Nb 2.03-2.04
O 0.8268 0.6536 0.2563  1 Nb 1.91

---

Record 2
## Ba4LiNb3O12 (PBEsol)

Data for a relaxed Ba4LiNb3O12 crystal.

Summary:
* E_tot: -324.9 eV for the cell shown
* formation energy from raw total energies: -2822.0 meV per atom
* magnetic moment: 0.00 μB per cell
* crystal system: hexagonal
* space-group type: No. 186

a = 5.8049 Å, b = 5.8049 Å, c = 19.1273 Å
α = 90.00°, β = 90.00°, γ = 120.00°
Last column: nearest neighbours and their distance in Å.
Element x y z (fractional)
Ba 0.6667 0.3333 0.2505  12 O 2.91-2.97
Ba 0.3333 0.6667 0.7505  12 O 2.91-2.97
Ba 0.6667 0.3333 0.6296  12 O 2.79-2.95
Ba 0.3333 0.6667 0.1296  12 O 2.79-2.95
Ba 0.6667 0.3333 0.8562  9 O 2.76-2.94
Ba 0.3333 0.6667 0.3562  9 O 2.76-2.94
Ba 0.0000 0.0000 0.9980  12 O 2.83-2.91, 1 Li 3.14
Ba 0.0000 0.0000 0.4980  12 O 2.83-2.91, 1 Li 3.14
Li 0.0000 0.0000 0.3338  3 O 1.95
Li 0.0000 0.0000 0.8338  3 O 1.95
Nb 0.6667 0.3333 0.0603  6 O 2.00-2.03
Nb 0.3333 0.6667 0.5603  6 O 2.00-2.03
Nb 0.6667 0.3333 0.4322  3 O 1.90
Nb 0.3333 0.6667 0.9322  3 O 1.90
Nb 0.0000 0.0000 0.6918  3 O 1.90
Nb 0.0000 0.0000 0.1918  3 O 1.90
O 0.3219 0.1609 0.7438  1 Nb 1.90
O 0.6781 0.8391 0.2438  1 Nb 1.90
O 0.1609 0.3219 0.2438  1 Nb 1.90
O 0.8391 0.1609 0.7438  1 Nb 1.90
O 0.1689 0.8311 0.6218  2 Nb 2.03-2.16
O 0.8311 0.6622 0.1218  2 Nb 2.03-2.16
O 0.3378 0.1689 0.1218  2 Nb 2.03-2.16
O 0.6622 0.8311 0.6218  2 Nb 2.03-2.16
O 0.1689 0.3378 0.6218  2 Nb 2.03-2.16
O 0.8311 0.1689 0.1218  2 Nb 2.03-2.16
O 0.1716 0.8284 0.8807  1 Nb 1.90, 1 Li 1.95
O 0.8284 0.6568 0.3807  1 Nb 1.90, 1 Li 1.95
O 0.1609 0.8391 0.2438  1 Nb 1.90
O 0.8391 0.6781 0.7438  1 Nb 1.90
O 0.4994 0.5006 0.5029  2 Nb 2.00-2.16
O 0.5006 0.0011 0.0029  2 Nb 2.00-2.16
O 0.9989 0.4994 0.0029  2 Nb 2.00-2.16
O 0.0011 0.5006 0.5029  2 Nb 2.00-2.16
O 0.4994 0.9989 0.5029  2 Nb 2.00-2.16
O 0.5006 0.4994 0.0029  2 Nb 2.00-2.16
O 0.8284 0.1716 0.3807  1 Nb 1.90, 1 Li 1.95
O 0.1716 0.3432 0.8807  1 Nb 1.90, 1 Li 1.95
O 0.6568 0.8284 0.8807  1 Nb 1.90, 1 Li 1.95
O 0.3432 0.1716 0.3807  1 Nb 1.90, 1 Li 1.95